[1]
An optimized crystal structure of YCrCl2. Source: the Alexandria database, functional PBE-GGA.

Results
**Formation energy (no corrections)**: -0.58 eV per atom
**Magnetic moment**: 4.0 μB per cell
**Offset from the most stable computed form**: 22.9 kJ per mole of atoms
**D(E_F)**: 0.625 states/eV per atom

a = 3.618 Å, b = 4.404 Å, c = 5.689 Å
α = 90.00°, β = 93.06°, γ = 90.00°
Space group P2/m (No. 10)
Unique sites:
Y 0.000 0.000 0.000
Cr 0.500 0.000 0.500
Cl 0.266 0.500 0.255

---

[2]
An optimized crystal structure of Sr2PaInPt6. Source: the Alexandria database, functional PBE-GGA.

Results
**Magnetic moment**: 0.0 μB per cell
**D(E_F)**: 0.568 states/eV per atom

a = 10.281 Å, b = 10.281 Å, c = 10.281 Å
α = 90.00°, β = 90.00°, γ = 90.00°
Space group Fm-3m (No. 225)
Unique sites:
Sr 0.250 0.250 0.250
Pa 0.000 0.000 0.000
In 0.000 0.000 0.500
Pt 0.000 0.000 0.248

---

[3]
An optimized crystal structure of TlCo2Bi2. Source: the Alexandria database, functional PBE-GGA.

Results
**Magnetic moment**: 4.6 μB per cell
**Offset from the most stable computed form**: 24.4 kJ per mole of atoms
**D(E_F)**: 1.035 states/eV per atom

a = 4.921 Å, b = 4.921 Å, c = 9.606 Å
α = 90.00°, β = 90.00°, γ = 90.00°
Space group I4/mmm (No. 139)
Unique sites:
Tl 0.000 0.000 0.000
Co 0.000 0.000 0.384
Bi 0.000 0.500 0.250

---

[4]
An optimized crystal structure of DyNiPt. Source: the Alexandria database, functional PBE-GGA.

Results
**Magnetic moment**: 0.0 μB per cell
**D(E_F)**: 1.154 states/eV per atom

a = 5.480 Å, b = 5.480 Å, c = 8.850 Å
α = 90.00°, β = 90.00°, γ = 90.00°
Space group P4_12_12 (No. 92)
Unique sites:
Dy 0.232 0.232 0.000
Ni 0.109 0.109 0.500
Pt 0.085 0.915 0.750

---

[5]
An optimized crystal structure of TeSeBr. Source: the Alexandria database, functional PBE-GGA.

Results
**Formation energy (no corrections)**: -0.14 eV per atom
**Magnetic moment**: 0.0 μB per cell
**Offset from the most stable computed form**: 0.8 kJ per mole of atoms
**D(E_F)**: 0.212 states/eV per atom

a = 6.649 Å, b = 3.884 Å, c = 17.851 Å
α = 90.00°, β = 90.00°, γ = 90.00°
Space group Pnma (No. 62)
Unique sites:
Te 0.249 0.250 0.056
Se 0.250 0.250 0.452
Br 0.247 0.750 0.175

---

[6]
An optimized crystal structure of Rb2NpU2Te6. Source: the Alexandria database, functional PBE-GGA.

Results
**Formation energy (no corrections)**: -0.82 eV per atom
**Magnetic moment**: 18.0 μB per cell
**D(E_F)**: 2.074 states/eV per atom

a = 7.717 Å, b = 13.389 Å, c = 9.172 Å
α = 90.00°, β = 106.30°, γ = 90.00°
Space group C2/m (No. 12)
Unique sites:
Rb 0.000 0.166 0.000
Np 0.000 0.000 0.500
U 0.000 0.333 0.500
Te 0.228 0.500 0.698
Te 0.235 0.167 0.699

---

[7]
An optimized crystal structure of BSbSe2. Source: the Alexandria database, functional PBE-GGA.

Results
**Formation energy (no corrections)**: 1.02 eV per atom
**Magnetic moment**: 0.0 μB per cell
**Offset from the most stable computed form**: 105.5 kJ per mole of atoms
**D(E_F)**: 0.836 states/eV per atom

a = 6.846 Å, b = 6.846 Å, c = 6.846 Å
α = 90.00°, β = 90.00°, γ = 90.00°
Space group Fm-3m (No. 225)
Unique sites:
B 0.000 0.000 0.000
Sb 0.000 0.000 0.500
Se 0.250 0.250 0.250

---

[8]
An optimized crystal structure of AlReAu. Source: the Alexandria database, functional PBE-GGA.

Results
**Magnetic moment**: 0.0 μB per cell
**Offset from the most stable computed form**: 0.0 kJ per mole of atoms
**D(E_F)**: 0.353 states/eV per atom

a = 3.050 Å, b = 3.050 Å, c = 9.973 Å
α = 90.00°, β = 90.00°, γ = 90.00°
Space group P4/nmm (No. 129, origin choice 2)
Unique sites:
Al 0.250 0.250 0.235
Re 0.250 0.250 0.919
Au 0.250 0.250 0.605

---

[9]
An optimized crystal structure of PuCdO. Source: the Alexandria database, functional PBE-GGA.

Results
**Formation energy (no corrections)**: -1.68 eV per atom
**Magnetic moment**: 33.0 μB per cell
**Offset from the most stable computed form**: 0.3 kJ per mole of atoms
**D(E_F)**: 1.869 states/eV per atom

a = 3.8629 Å, b = 3.8629 Å, c = 30.3222 Å
α = 90.00°, β = 90.00°, γ = 120.00°
Space group R-3m (No. 166, hexagonal axes)
Unique sites:
Pu 0.0000 0.0000 0.1193
Cd 0.0000 0.0000 0.3668
O 0.0000 0.0000 0.1965

---

[10]
An optimized crystal structure of EuBiPb. Source: the Alexandria database, functional PBE-GGA.

Results
**Magnetic moment**: 7.2 μB per cell
**Offset from the most stable computed form**: 0.0 kJ per mole of atoms
**D(E_F)**: 0.514 states/eV per atom

a = 5.6573 Å, b = 5.6573 Å, c = 3.5531 Å
α = 90.00°, β = 90.00°, γ = 120.00°
Space group P3m1 (No. 156)
Unique sites:
Eu 0.0000 0.0000 0.0000
Bi 0.6667 0.3333 0.5024
Pb 0.3333 0.6667 0.4975

---

[11]
An optimized crystal structure of TiHg3Ge. Source: the Alexandria database, functional PBE-GGA.

Results
**Magnetic moment**: 0.0 μB per cell
**Offset from the most stable computed form**: 10.3 kJ per mole of atoms
**D(E_F)**: 1.303 states/eV per atom

a = 5.134 Å, b = 5.134 Å, c = 5.134 Å
α = 90.00°, β = 90.00°, γ = 90.00°
Space group Pm-3m (No. 221)
Unique sites:
Ti 0.000 0.000 0.000
Hg 0.000 0.500 0.500
Ge 0.500 0.500 0.500

---

[12]
An optimized crystal structure of Li2Fe3Pd8. Source: the Alexandria database, functional PBE-GGA.

Results
**Magnetic moment**: 21.9 μB per cell
**D(E_F)**: 0.742 states/eV per atom

a = 11.733 Å, b = 6.921 Å, c = 4.804 Å
α = 90.00°, β = 91.89°, γ = 90.00°
Space group C2/m (No. 12)
Unique sites:
Li 0.209 0.000 0.286
Fe 0.000 0.000 0.500
Fe 0.000 0.174 0.000
Pd 0.110 0.500 0.942
Pd 0.120 0.304 0.444
Pd 0.184 0.000 0.793

---

[13]
An optimized crystal structure of ErMnNbC3. Source: the Alexandria database, functional PBE-GGA.

Results
**Magnetic moment**: 0.0 μB per cell
**D(E_F)**: 0.352 states/eV per atom

a = 6.825 Å, b = 3.301 Å, c = 7.234 Å
α = 90.00°, β = 100.02°, γ = 90.00°
Space group P2_1/m (No. 11)
Unique sites:
Er 0.169 0.250 0.190
Mn 0.101 0.250 0.600
Nb 0.359 0.750 0.854
C 0.119 0.250 0.853
C 0.173 0.750 0.519
C 0.426 0.750 0.152

---

[14]
An optimized crystal structure of Sc3ZnN. Source: the Alexandria database, functional PBE-GGA.

Results
**Formation energy (no corrections)**: 0.07 eV per atom
**Magnetic moment**: 0.0 μB per cell
**D(E_F)**: 0.669 states/eV per atom

a = 3.9378 Å, b = 3.9378 Å, c = 14.9258 Å
α = 90.00°, β = 90.00°, γ = 120.00°
Space group P6_3/mmc (No. 194)
Unique sites:
Sc 0.0000 0.0000 0.2500
Sc 0.3333 0.6667 0.0664
Zn 0.3333 0.6667 0.2500
N 0.0000 0.0000 0.0000

---

[15]
An optimized crystal structure of GaGeI. Source: the Alexandria database, functional PBE-GGA.

Results
**Formation energy (no corrections)**: 0.01 eV per atom
**Magnetic moment**: 0.0 μB per cell
**Offset from the most stable computed form**: 24.3 kJ per mole of atoms
**D(E_F)**: 0.102 states/eV per atom

a = 8.948 Å, b = 4.355 Å, c = 11.092 Å
α = 90.00°, β = 90.00°, γ = 90.00°
Space group Pnma (No. 62)
Unique sites:
Ga 0.112 0.250 0.103
Ge 0.153 0.750 0.987
I 0.085 0.250 0.351

---

[16]
An optimized crystal structure of CsSmMg2Br8. Source: the Alexandria database, functional PBE-GGA.

Results
**Formation energy (no corrections)**: -1.61 eV per atom
**Magnetic moment**: 0.0 μB per cell
**D(E_F)**: 0.000 states/eV per atom

a = 7.069 Å, b = 7.202 Å, c = 10.015 Å
α = 72.11°, β = 74.39°, γ = 72.69°
Space group P-1 (No. 2)
Unique sites:
Cs 0.000 0.000 0.000
Sm 0.000 0.000 0.500
Mg 0.461 0.450 0.209
Br 0.179 0.703 0.732
Br 0.265 0.782 0.296
Br 0.281 0.238 0.451
Br 0.389 0.296 0.034

---

[17]
An optimized crystal structure of CuNiAg2. Source: the Alexandria database, functional PBE-GGA.

Results
**Magnetic moment**: 0.0 μB per cell
**Offset from the most stable computed form**: 4.9 kJ per mole of atoms
**D(E_F)**: 0.624 states/eV per atom

a = 9.409 Å, b = 2.779 Å, c = 4.669 Å
α = 90.00°, β = 106.08°, γ = 90.00°
Space group Cm (No. 8)
Unique sites:
Cu 0.000 0.000 0.000
Ni 0.282 0.000 0.737
Ag 0.029 0.500 0.525
Ag 0.256 0.500 0.217

---

[18]
An optimized crystal structure of BiIrS2. Source: the Alexandria database, functional PBE-GGA.

Results
**Formation energy (no corrections)**: -0.19 eV per atom
**Magnetic moment**: 0.0 μB per cell
**D(E_F)**: 0.064 states/eV per atom

a = 4.959 Å, b = 6.477 Å, c = 6.695 Å
α = 61.25°, β = 77.18°, γ = 89.96°
Space group P-1 (No. 2)
Unique sites:
Bi 0.249 0.195 0.110
Ir 0.000 0.500 0.500
Ir 0.500 0.000 0.500
S 0.180 0.151 0.700
S 0.182 0.650 0.700

---

[19]
An optimized crystal structure of Tb5TmAl3. Source: the Alexandria database, functional PBE-GGA.

Results
**Magnetic moment**: 0.0 μB per cell
**D(E_F)**: 1.039 states/eV per atom

a = 9.0830 Å, b = 9.0830 Å, c = 6.6406 Å
α = 90.00°, β = 90.00°, γ = 120.00°
Space group P6_3/mcm (No. 193)
Unique sites:
Tb 0.0000 0.3336 0.2500
Tb 0.3333 0.6667 0.0000
Tm 0.0000 0.0000 0.0000
Al 0.0000 0.3309 0.7500

---

[20]
An optimized crystal structure of Cu3Pt4O12. Source: the Alexandria database, functional PBE-GGA.

Results
**Formation energy (no corrections)**: -0.41 eV per atom
**Magnetic moment**: 0.0 μB per cell
**D(E_F)**: 0.616 states/eV per atom

a = 7.529 Å, b = 7.529 Å, c = 7.529 Å
α = 90.00°, β = 90.00°, γ = 90.00°
Space group Im-3 (No. 204)
Unique sites:
Cu 0.000 0.000 0.500
Pt 0.250 0.250 0.250
O 0.000 0.327 0.181

---

[21]
An optimized crystal structure of Ac2Pm3Nd. Source: the Alexandria database, functional PBE-GGA.

Results
**Magnetic moment**: 0.0 μB per cell
**Offset from the most stable computed form**: 0.0 kJ per mole of atoms
**D(E_F)**: 1.366 states/eV per atom

a = 7.299 Å, b = 17.234 Å, c = 3.681 Å
α = 90.00°, β = 90.00°, γ = 90.00°
Space group Pnnm (No. 58)
Unique sites:
Ac 0.249 0.165 0.000
Pm 0.000 0.000 0.500
Pm 0.250 0.354 0.500
Nd 0.000 0.500 0.000

---

[22]
An optimized crystal structure of SbMoBr2. Source: the Alexandria database, functional PBE-GGA.

Results
**Formation energy (no corrections)**: 0.56 eV per atom
**Magnetic moment**: 3.9 μB per cell
**Offset from the most stable computed form**: 63.5 kJ per mole of atoms
**D(E_F)**: 0.741 states/eV per atom

a = 4.894 Å, b = 5.787 Å, c = 7.271 Å
α = 90.00°, β = 90.00°, γ = 90.00°
Space group Imm2 (No. 44)
Unique sites:
Sb 0.000 0.000 0.000
Mo 0.000 0.500 0.207
Br 0.000 0.000 0.586
Br 0.000 0.500 0.848

---

[23]
An optimized crystal structure of PmCd2F6. Source: the Alexandria database, functional PBE-GGA.

Results
**Formation energy (no corrections)**: -2.78 eV per atom
**Magnetic moment**: 0.0 μB per cell
**D(E_F)**: 0.170 states/eV per atom

a = 11.872 Å, b = 3.997 Å, c = 8.047 Å
α = 90.00°, β = 124.90°, γ = 90.00°
Space group C2/m (No. 12)
Unique sites:
Pm 0.000 0.000 0.000
Cd 0.158 0.000 0.597
F 0.042 0.000 0.753
F 0.129 0.500 0.078
F 0.224 0.000 0.347

---

| no. | E (eV per atom) |
| --- | --- |
| 1 | -5.526 |
| 2 | -5.400 |
| 3 | -4.396 |
| 4 | -5.614 |
| 5 | -2.909 |
| 6 | -5.937 |
| 7 | -3.427 |
| 8 | -6.749 |
| 9 | -8.414 |
| 10 | -6.364 |
| 11 | -1.837 |
| 12 | -5.433 |
| 13 | -8.688 |
| 14 | -5.649 |
| 15 | -3.060 |
| 16 | -3.455 |
| 17 | -3.714 |
| 18 | -5.437 |
| 19 | -4.586 |
| 20 | -5.459 |
| 21 | -4.399 |
| 22 | -4.016 |
| 23 | -4.761 |